Record 1
# Pm5Pr2Ho5 | Alexandria via LeMat-Bulk | PBE | relaxed
data_Pm5Pr2Ho5
_chemical_formula_sum 'Pm10 Pr4 Ho10'
_cell_length_a 15.326
_cell_length_b 5.091
_cell_length_c 11.430
_cell_angle_alpha 90.00
_cell_angle_beta 116.63
_cell_angle_gamma 90.00
_space_group_name_H-M_alt 'C 1 2/m 1'
_space_group_IT_number 12
_space_group_name_Hall '-C 2y'
loop_
_atom_site_label
_atom_site_fract_x
_atom_site_fract_y
_atom_site_fract_z
Pm1 0.000 0.000 0.000
Pm2 0.166 0.000 0.499
Pm3 0.248 0.000 0.248
Pr1 0.083 0.000 0.751
Ho1 0.000 0.500 0.500
Ho2 0.083 0.500 0.249
Ho3 0.167 0.500 0.001
# Electronic total energy, eV/atom: -4.67
# N(E_F), states/eV/f.u.: 17.6

---

Record 2
# Pm5Pr8Ho | Alexandria via LeMat-Bulk | PBE | relaxed
data_Pm5Pr8Ho
_chemical_formula_sum 'Pm10 Pr16 Ho2'
_cell_length_a 9.877
_cell_length_b 9.877
_cell_length_c 10.341
_cell_angle_alpha 90.00
_cell_angle_beta 90.00
_cell_angle_gamma 90.00
_space_group_name_H-M_alt 'I -4'
_space_group_IT_number 82
_space_group_name_Hall 'I -4'
loop_
_atom_site_label
_atom_site_fract_x
_atom_site_fract_y
_atom_site_fract_z
Pm1 0.000 0.000 0.000
Pm2 0.106 0.207 0.576
Pr1 0.069 0.328 0.906
Pr2 0.084 0.184 0.246
Ho1 0.000 0.500 0.250
# Electronic total energy, eV/atom: -4.52
# N(E_F), states/eV/f.u.: 21.0

---

Record 3
# Pm2Pr3Ho5 | Alexandria via LeMat-Bulk | PBE | relaxed
data_Pm2Pr3Ho5
_chemical_formula_sum 'Pm8 Pr12 Ho20'
_cell_length_a 10.690
_cell_length_b 16.453
_cell_length_c 9.344
_cell_angle_alpha 90.00
_cell_angle_beta 124.89
_cell_angle_gamma 90.00
_space_group_name_H-M_alt 'C 1 2/c 1'
_space_group_IT_number 15
_space_group_name_Hall '-C 2yc'
loop_
_atom_site_label
_atom_site_fract_x
_atom_site_fract_y
_atom_site_fract_z
Pm1 0.149 0.119 0.044
Pr1 0.000 0.268 0.750
Pr2 0.147 0.376 0.547
Ho1 0.000 0.029 0.250
Ho2 0.000 0.227 0.250
Ho3 0.000 0.474 0.750
Ho4 0.245 0.114 0.737
# Distance to the lowest polymorph of the same formula, eV/f.u.: 0.00
# Electronic total energy, eV/atom: -4.49
# N(E_F), states/eV/f.u.: 16.0